1.
The following is a DFT calculation (GGA-PBE) of a relaxed structure of YMg3Cd2.

a = 4.9258 Å, b = 4.9258 Å, c = 13.4050 Å
α = 90.00°, β = 90.00°, γ = 120.00°
Fractional positions:
1 Y 0.0000 0.0000 0.2500
2 Y 0.0000 0.0000 0.7500
3 Mg 0.0000 0.0000 0.0000
4 Mg 0.0000 0.0000 0.5000
5 Mg 0.3333 0.6667 0.1052
6 Mg 0.3333 0.6667 0.3948
7 Mg 0.6667 0.3333 0.6052
8 Mg 0.6667 0.3333 0.8948
9 Cd 0.3333 0.6667 0.6316
10 Cd 0.3333 0.6667 0.8684
11 Cd 0.6667 0.3333 0.1316
12 Cd 0.6667 0.3333 0.3684

Output
calculated density: 4.56 g/cm3
offset from the most stable computed form: 0.00 eV/f.u.


2.
The following is a DFT calculation (GGA-PBE) of a relaxed structure of YMg4Cd.

a = 3.4975 Å, b = 3.4975 Å, c = 11.7142 Å
α = 90.00°, β = 90.00°, γ = 90.00°
Fractional positions:
1 Y 0.0000 0.0000 0.0000
2 Mg 0.0000 0.0000 0.3491
3 Mg 0.0000 0.0000 0.6509
4 Mg 0.5000 0.5000 0.1880
5 Mg 0.5000 0.5000 0.8120
6 Cd 0.5000 0.5000 0.5000

Output
calculated density: 3.46 g/cm3
offset from the most stable computed form: 0.04 eV/f.u.


3.
The following is a DFT calculation (GGA-PBE) of a relaxed structure of Y4MgZn2Cd.

a = 9.0205 Å, b = 9.0205 Å, c = 9.0205 Å
α = 33.50°, β = 33.50°, γ = 33.50°
Fractional positions:
1 Y 0.1240 0.1240 0.1240
2 Y 0.3745 0.3745 0.3745
3 Y 0.6255 0.6255 0.6255
4 Y 0.8760 0.8760 0.8760
5 Mg 0.5000 0.5000 0.5000
6 Zn 0.2450 0.2450 0.2450
7 Zn 0.7550 0.7550 0.7550
8 Cd 0.0000 0.0000 0.0000

Output
calculated total energy: -4.141 eV per atom
calculated density: 5.20 g/cm3


What did the third record say?
The following is a DFT calculation (GGA-PBE) of a relaxed structure of Y4MgZn2Cd.

a = 9.0205 Å, b = 9.0205 Å, c = 9.0205 Å
α = 33.50°, β = 33.50°, γ = 33.50°
Fractional positions:
1 Y 0.1240 0.1240 0.1240
2 Y 0.3745 0.3745 0.3745
3 Y 0.6255 0.6255 0.6255
4 Y 0.8760 0.8760 0.8760
5 Mg 0.5000 0.5000 0.5000
6 Zn 0.2450 0.2450 0.2450
7 Zn 0.7550 0.7550 0.7550
8 Cd 0.0000 0.0000 0.0000

Output
calculated total energy: -4.141 eV per atom
calculated density: 5.20 g/cm3


Please write out number 1 again, unchanged.
The following is a DFT calculation (GGA-PBE) of a relaxed structure of YMg3Cd2.

a = 4.9258 Å, b = 4.9258 Å, c = 13.4050 Å
α = 90.00°, β = 90.00°, γ = 120.00°
Fractional positions:
1 Y 0.0000 0.0000 0.2500
2 Y 0.0000 0.0000 0.7500
3 Mg 0.0000 0.0000 0.0000
4 Mg 0.0000 0.0000 0.5000
5 Mg 0.3333 0.6667 0.1052
6 Mg 0.3333 0.6667 0.3948
7 Mg 0.6667 0.3333 0.6052
8 Mg 0.6667 0.3333 0.8948
9 Cd 0.3333 0.6667 0.6316
10 Cd 0.3333 0.6667 0.8684
11 Cd 0.6667 0.3333 0.1316
12 Cd 0.6667 0.3333 0.3684

Output
calculated density: 4.56 g/cm3
offset from the most stable computed form: 0.00 eV/f.u.


Q: The highest calculated density belongs to which entry?
A: Y4MgZn2Cd